DFT (PBE) results for CrCd2Cu after structural relaxation.

Properties
E above lowest polymorph = 19 meV/atom
energy of formation = 27.0 kJ per mole of atoms
V = 17.531 A^3/atom

Unit cell a=4.8825 b=4.8825 c=4.8825 alpha=128.07 beta=128.02 gamma=76.55
Closest atoms and distances in Å follow each position.
Sites, in units of the cell vectors:
Cd 0.5001 0.5001 0.0000  4 Cr 2.87, 4 Cu 2.87, 4 Cd 3.02
Cd 0.9999 0.9999 0.0000  4 Cr 2.87, 4 Cu 2.87, 4 Cd 3.02
Cu 0.2500 0.7500 0.5000  8 Cd 2.87, 4 Cr 3.02
Cr 0.7500 0.2500 0.5000  8 Cd 2.87, 4 Cu 3.02